# 1
Compound: RePPbCl2
Source: Alexandria
Functional: PBE
Structure: optimized geometry

The raw total energy is -4.83 eV per atom. For the total magnetization, the calculation gives 0.13 μB/atom. For the uncorrected formation energy, the calculation gives 0.227 eV per atom. As for the relative energy among the computed polymorphs: 0.0 kJ/mol of formula units.

The structure belongs to space group P4/mmm (No. 123); the cell edges are 4.960, 4.960 and 4.633 Å and the angles 90.00°, 90.00° and 90.00°. Symmetry generates all atoms from Re at (0.000, 0.000, 0.000), P at (0.000, 0.000, 0.500), Pb at (0.500, 0.500, 0.500) and Cl at (0.000, 0.500, 0.000).



# 2
Compound: ReP2PbCl
Source: Alexandria
Functional: PBE
Structure: optimized geometry

The raw total energy is -3.95 eV per atom. For the total magnetization, the calculation gives 0.75 μB/atom. For the uncorrected formation energy, the calculation gives 1.813 eV per atom. As for the relative energy among the computed polymorphs: 755.3 kJ/mol of formula units.

The structure belongs to space group P4/mmm (No. 123); the cell edges are 5.236, 5.236 and 5.175 Å and the angles 90.00°, 90.00° and 90.00°. Symmetry generates all atoms from Re at (0.000, 0.000, 0.000), P at (0.000, 0.500, 0.500), Pb at (0.500, 0.500, 0.500) and Cl at (0.500, 0.500, 0.000).